[1]
Computed, not measured: a relaxed Cs2RbCd crystal at the GGA-PBE level of DFT.

The structure in POSCAR format:
```
Cs2RbCd
1.0
-3.1754 5.0441 2.0484
-1.9263 -3.4286 5.4568
5.4816 2.1232 3.2691
Cs Rb Cd
2 1 1
Direct
0.0000 0.0000 0.5000
0.0000 0.5000 0.0000
0.5000 0.0000 0.0000
0.5000 0.5000 0.5000
```

The theoretical density is 2.700 g cm⁻³. The total moment comes out at 0.0000 μB/atom. Its total energy is -0.839 eV/atom. For the formation energy from the elements, the calculation gives 0.06 eV per atom.


[2]
Computed, not measured: a relaxed Cs2RbCd crystal at the GGA-PBE level of DFT.

The structure in POSCAR format:
```
Cs2RbCd
1.0
12.4489 0.0000 0.0000
0.0000 12.4489 0.0000
6.2244 6.2244 4.1701
Cs Rb Cd
4 2 2
Direct
0.7064 0.1250 0.2500
0.0436 0.6250 0.2500
0.3750 0.2936 0.7500
0.8750 0.9564 0.7500
0.5000 0.5000 0.0000
0.2500 0.7500 0.5000
0.0000 0.0000 0.0000
0.7500 0.2500 0.5000
```

The theoretical density is 2.383 g cm⁻³. The total moment comes out at 0.0000 μB/atom. Its total energy is -0.841 eV/atom. For the formation energy from the elements, the calculation gives 0.06 eV per atom.


[3]
Computed, not measured: a relaxed Cs2RbCd6 crystal at the GGA-PBE level of DFT.

The structure in POSCAR format:
```
Cs2RbCd6
1.0
7.3403 -1.5555 -0.4605
-0.6556 7.4324 0.9762
-1.5913 1.1556 7.2633
Cs Rb Cd
2 1 6
Direct
0.6673 0.3330 0.3330
0.3327 0.6670 0.6670
0.0000 0.0000 0.0000
0.1664 0.4999 0.1663
0.8336 0.8337 0.5001
0.8336 0.5001 0.8337
0.5000 0.8342 0.1658
0.1664 0.1663 0.4999
0.5000 0.1658 0.8342
```

The theoretical density is 4.507 g cm⁻³. The total moment comes out at 0.0000 μB/atom. Its total energy is -0.941 eV/atom. For the formation energy from the elements, the calculation gives -0.03 eV per atom.


- total moment of number 1 (Cs2RbCd)?
  0.0000 μB/atom


Copy entry 1 word for word.
Computed, not measured: a relaxed Cs2RbCd crystal at the GGA-PBE level of DFT.

The structure in POSCAR format:
```
Cs2RbCd
1.0
-3.1754 5.0441 2.0484
-1.9263 -3.4286 5.4568
5.4816 2.1232 3.2691
Cs Rb Cd
2 1 1
Direct
0.0000 0.0000 0.5000
0.0000 0.5000 0.0000
0.5000 0.0000 0.0000
0.5000 0.5000 0.5000
```

The theoretical density is 2.700 g cm⁻³. The total moment comes out at 0.0000 μB/atom. Its total energy is -0.839 eV/atom. For the formation energy from the elements, the calculation gives 0.06 eV per atom.